(1)
Below is a relaxed KRhF5 crystal, with properties calculated at the PBE level.

Geometry as CIF:
```
data_KRhF5
_chemical_formula_sum 'K2 Rh2 F10'
_cell_length_a 6.744
_cell_length_b 6.744
_cell_length_c 6.765
_cell_angle_alpha 107.89
_cell_angle_beta 111.60
_cell_angle_gamma 108.82
_symmetry_space_group_name_H-M 'P 1'
_symmetry_Int_Tables_number 1
loop_
_symmetry_equiv_pos_as_xyz
'x,y,z'
loop_
_atom_site_label
_atom_site_type_symbol
_atom_site_fract_x
_atom_site_fract_y
_atom_site_fract_z
_atom_site_occupancy
F1 F 0.500 0.757 0.258 1
F2 F 0.663 0.913 0.750 1
F3 F 0.999 0.242 0.242 1
F4 F 0.793 0.239 0.553 1
F5 F 0.337 0.087 0.250 1
F6 F 0.500 0.243 0.742 1
F7 F 0.207 0.761 0.447 1
F8 F 0.185 0.240 0.947 1
F9 F 0.815 0.760 0.053 1
F10 F 0.001 0.758 0.758 1
Rh1 Rh 0.500 0.000 0.500 1
Rh2 Rh 0.000 0.000 0.000 1
K1 K 0.279 0.529 0.750 1
K2 K 0.721 0.471 0.250 1
```

Values from the calculation:
* V: 16.93 A^3/atom
* symmetry: No. 15
* D(E_F): 2.7 states/eV/cell
* energy above the lowest structure with this stoichiometry: 0.000 eV/atom
* magnetic moment: 1.0 μB per formula unit
* uncorrected formation energy: -13.66 eV per formula unit



(2)
Below is a relaxed KRhF6 crystal, with properties calculated at the PBE level.

Geometry as CIF:
```
data_KRhF6
_chemical_formula_sum 'K1 Rh1 F6'
_cell_length_a 5.556
_cell_length_b 6.104
_cell_length_c 6.120
_cell_angle_alpha 126.07
_cell_angle_beta 117.25
_cell_angle_gamma 89.88
_symmetry_space_group_name_H-M 'P 1'
_symmetry_Int_Tables_number 1
loop_
_symmetry_equiv_pos_as_xyz
'x,y,z'
loop_
_atom_site_label
_atom_site_type_symbol
_atom_site_fract_x
_atom_site_fract_y
_atom_site_fract_z
_atom_site_occupancy
F1 F 0.639 0.845 0.651 1
F2 F 0.845 0.009 0.240 1
F3 F 0.394 0.193 0.424 1
F4 F 0.188 0.029 0.835 1
F5 F 0.026 0.642 0.873 1
F6 F 0.007 0.396 0.203 1
K1 K 0.517 0.519 0.038 1
Rh1 Rh 0.016 0.019 0.038 1
```

Values from the calculation:
* V: 17.30 A^3/atom
* symmetry: No. 2
* D(E_F): 7.9 states/eV/cell
* magnetic moment: 2.0 μB per formula unit
* uncorrected formation energy: -14.77 eV per formula unit



(3)
Below is a relaxed K2RhF5 crystal, with properties calculated at the PBE level.

Geometry as CIF:
```
data_K2RhF5
_chemical_formula_sum 'K4 Rh2 F10'
_cell_length_a 6.352
_cell_length_b 7.257
_cell_length_c 7.637
_cell_angle_alpha 61.31
_cell_angle_beta 65.42
_cell_angle_gamma 64.05
_symmetry_space_group_name_H-M 'P 1'
_symmetry_Int_Tables_number 1
loop_
_symmetry_equiv_pos_as_xyz
'x,y,z'
loop_
_atom_site_label
_atom_site_type_symbol
_atom_site_fract_x
_atom_site_fract_y
_atom_site_fract_z
_atom_site_occupancy
F1 F 0.716 0.298 0.694 1
F2 F 0.074 0.534 0.564 1
F3 F 0.187 0.270 0.935 1
F4 F 0.293 0.798 0.194 1
F5 F 0.828 0.034 0.064 1
F6 F 0.688 0.501 0.944 1
F7 F 0.215 0.066 0.685 1
F8 F 0.867 0.001 0.444 1
F9 F 0.034 0.566 0.185 1
F10 F 0.608 0.770 0.435 1
Rh1 Rh 0.951 0.784 0.314 1
Rh2 Rh 0.951 0.284 0.814 1
K1 K 0.309 0.625 0.797 1
K2 K 0.269 0.125 0.297 1
K3 K 0.631 0.442 0.333 1
K4 K 0.595 0.942 0.833 1
```

Values from the calculation:
* V: 16.75 A^3/atom
* symmetry: No. 9
* magnetic moment: 0.1 μB per formula unit
* uncorrected formation energy: -17.93 eV per formula unit



(4)
Below is a relaxed KRhF2 crystal, with properties calculated at the PBE level.

Geometry as CIF:
```
data_KRhF2
_chemical_formula_sum 'K1 Rh1 F2'
_cell_length_a 7.685
_cell_length_b 7.685
_cell_length_c 7.685
_cell_angle_alpha 23.73
_cell_angle_beta 23.73
_cell_angle_gamma 23.73
_symmetry_space_group_name_H-M 'P 1'
_symmetry_Int_Tables_number 1
loop_
_symmetry_equiv_pos_as_xyz
'x,y,z'
loop_
_atom_site_label
_atom_site_type_symbol
_atom_site_fract_x
_atom_site_fract_y
_atom_site_fract_z
_atom_site_occupancy
K1 K 0.500 0.500 0.500 1
Rh1 Rh 0.000 0.000 0.000 1
F1 F 0.090 0.090 0.090 1
F2 F 0.910 0.910 0.910 1
```

Values from the calculation:
* V: 16.14 A^3/atom
* symmetry: No. 166
* D(E_F): 4.4 states/eV/cell
* energy above the lowest structure with this stoichiometry: 0.000 eV/atom
* magnetic moment: 0.8 μB per formula unit
* uncorrected formation energy: -5.76 eV per formula unit



(5)
Below is a relaxed K5Rh3F12 crystal, with properties calculated at the PBE level.

Geometry as CIF:
```
data_K5Rh3F12
_chemical_formula_sum 'K5 Rh3 F12'
_cell_length_a 3.513
_cell_length_b 10.518
_cell_length_c 10.518
_cell_angle_alpha 120.00
_cell_angle_beta 90.00
_cell_angle_gamma 90.00
_symmetry_space_group_name_H-M 'P 1'
_symmetry_Int_Tables_number 1
loop_
_symmetry_equiv_pos_as_xyz
'x,y,z'
loop_
_atom_site_label
_atom_site_type_symbol
_atom_site_fract_x
_atom_site_fract_y
_atom_site_fract_z
_atom_site_occupancy
F1 F 0.000 0.210 0.210 1
F2 F 0.000 0.454 0.454 1
F3 F 0.000 0.546 0.000 1
F4 F 0.500 0.441 0.217 1
F5 F 0.500 0.217 0.441 1
F6 F 0.000 0.000 0.790 1
F7 F 0.500 0.223 0.783 1
F8 F 0.000 0.000 0.546 1
F9 F 0.500 0.777 0.559 1
F10 F 0.000 0.790 0.000 1
F11 F 0.500 0.783 0.223 1
F12 F 0.500 0.559 0.777 1
Rh1 Rh 0.500 0.667 0.000 1
Rh2 Rh 0.500 0.000 0.667 1
Rh3 Rh 0.500 0.333 0.333 1
K1 K 0.000 0.000 0.286 1
K2 K 0.000 0.333 0.667 1
K3 K 0.000 0.286 0.000 1
K4 K 0.000 0.714 0.714 1
K5 K 0.000 0.667 0.333 1
```

Values from the calculation:
* V: 16.83 A^3/atom
* symmetry: No. 189
* D(E_F): 2.4 states/eV/cell
* magnetic moment: 2.1 μB per formula unit
* uncorrected formation energy: -41.68 eV per formula unit



(6)
Below is a relaxed K2RhF8 crystal, with properties calculated at the PBE level.

Geometry as CIF:
```
data_K2RhF8
_chemical_formula_sum 'K2 Rh1 F8'
_cell_length_a 5.010
_cell_length_b 6.896
_cell_length_c 6.896
_cell_angle_alpha 72.12
_cell_angle_beta 70.82
_cell_angle_gamma 70.82
_symmetry_space_group_name_H-M 'P 1'
_symmetry_Int_Tables_number 1
loop_
_symmetry_equiv_pos_as_xyz
'x,y,z'
loop_
_atom_site_label
_atom_site_type_symbol
_atom_site_fract_x
_atom_site_fract_y
_atom_site_fract_z
_atom_site_occupancy
F1 F 0.783 0.896 0.896 1
F2 F 0.750 0.948 0.278 1
F3 F 0.295 0.570 0.570 1
F4 F 0.705 0.430 0.430 1
F5 F 0.250 0.722 0.052 1
F6 F 0.750 0.278 0.948 1
F7 F 0.217 0.104 0.104 1
F8 F 0.250 0.052 0.722 1
Rh1 Rh 0.000 0.000 0.000 1
K1 K 0.692 0.670 0.670 1
K2 K 0.308 0.330 0.330 1
```

Values from the calculation:
* V: 18.83 A^3/atom
* symmetry: No. 12
* D(E_F): 8.8 states/eV/cell
* magnetic moment: 3.0 μB per formula unit
* uncorrected formation energy: -20.30 eV per formula unit



Among the records above, which one has the lowest uncorrected formation energy?
K5Rh3F12